Density functional theory data (PBE) for a geometry-optimized USnOs structure.

```
data_USnOs
_cell_length_a 6.661
_cell_length_b 6.661
_cell_length_c 6.661
_cell_angle_alpha 90.00
_cell_angle_beta 90.00
_cell_angle_gamma 90.00
_symmetry_space_group_name_H-M 'F -4 3 m'
_symmetry_Int_Tables_number 216
_symmetry_space_group_name_Hall 'F -4 2 3'
loop_
_atom_site_label
_atom_site_type_symbol
_atom_site_fract_x
_atom_site_fract_y
_atom_site_fract_z
_atom_site_occupancy
U1 U 0.000 0.000 0.000 1
Sn1 Sn 0.250 0.250 0.250 1
Os1 Os 0.250 0.250 0.750 1
```

Values from the calculation:
Its energy is -7.94 eV per atom. Its volume is 295.5 Å³ per cell.

Density functional theory data (PBE) for a geometry-optimized BaSmZn structure.

```
data_BaSmZn
_cell_length_a 7.613
_cell_length_b 7.613
_cell_length_c 7.613
_cell_angle_alpha 90.00
_cell_angle_beta 90.00
_cell_angle_gamma 90.00
_symmetry_space_group_name_H-M 'F -4 3 m'
_symmetry_Int_Tables_number 216
_symmetry_space_group_name_Hall 'F -4 2 3'
loop_
_atom_site_label
_atom_site_type_symbol
_atom_site_fract_x
_atom_site_fract_y
_atom_site_fract_z
_atom_site_occupancy
Ba1 Ba 0.000 0.000 0.000 1
Sm1 Sm 0.000 0.000 0.500 1
Zn1 Zn 0.250 0.250 0.250 1
```

Values from the calculation:
Its energy relative to the lowest polymorph listed for this composition is 0.00 kcal/mol of atoms. Its volume is 441.3 Å³ per cell.

Density functional theory data (PBE) for a geometry-optimized Tm6SeF2 structure.

```
data_Tm6SeF2
_cell_length_a 10.037
_cell_length_b 10.037
_cell_length_c 10.037
_cell_angle_alpha 90.00
_cell_angle_beta 90.00
_cell_angle_gamma 90.00
_symmetry_space_group_name_H-M 'F m -3 m'
_symmetry_Int_Tables_number 225
_symmetry_space_group_name_Hall '-F 4 2 3'
loop_
_atom_site_label
_atom_site_type_symbol
_atom_site_fract_x
_atom_site_fract_y
_atom_site_fract_z
_atom_site_occupancy
Tm1 Tm 0.000 0.000 0.233 1
Se1 Se 0.000 0.000 0.500 1
F1 F 0.250 0.250 0.250 1
```

Values from the calculation:
Its energy is -4.07 eV per atom. Its volume is 1011.2 Å³ per cell.